No. 1
# Hf7TaBi2 (GGA-PBE, optimized geometry)
data_Hf7TaBi2
_chemical_formula_sum 'Hf28 Ta4 Bi8'
_symmetry_space_group_name_H-M 'F m -3 m'
_symmetry_Int_Tables_number 225
_symmetry_space_group_name_Hall '-F 4 2 3'
_cell_length_a 10.331
_cell_length_b 10.331
_cell_length_c 10.331
_cell_angle_alpha 90.00
_cell_angle_beta 90.00
_cell_angle_gamma 90.00
loop_
_atom_site_label
_atom_site_fract_x
_atom_site_fract_y
_atom_site_fract_z
_atom_site_occupancy
Hf1 0.000 0.000 0.000 1
Hf2 0.000 0.000 0.252 1
Ta1 0.000 0.000 0.500 1
Bi1 0.250 0.250 0.250 1
# density of states at the Fermi level	56.97	states/eV/cell

---

No. 2
# Mg2FePt (GGA-PBE, optimized geometry)
data_Mg2FePt
_chemical_formula_sum 'Mg4 Fe2 Pt2'
_symmetry_space_group_name_H-M 'C 1 2/m 1'
_symmetry_Int_Tables_number 12
_cell_length_a 5.633
_cell_length_b 7.751
_cell_length_c 2.876
_cell_angle_alpha 90.00
_cell_angle_beta 90.16
_cell_angle_gamma 90.00
loop_
_symmetry_equiv_pos_as_xyz
'x,y,z'
'-x,-y,-z'
'-x,y,-z'
'x,-y,z'
'x+1/2,y+1/2,z'
'-x+1/2,-y+1/2,-z'
'-x+1/2,y+1/2,-z'
'x+1/2,-y+1/2,z'
loop_
_atom_site_label
_atom_site_fract_x
_atom_site_fract_y
_atom_site_fract_z
_atom_site_occupancy
Mg1 0.250 0.250 0.000 1
Fe1 0.000 0.000 0.500 1
Pt1 0.000 0.500 0.500 1
# density of states at the Fermi level	7.00	states/eV/cell

---

No. 3
# K3LiTa (GGA-PBE, optimized geometry)
data_K3LiTa
_chemical_formula_sum 'K3 Li1 Ta1'
_symmetry_space_group_name_H-M 'P m -3 m'
_symmetry_Int_Tables_number 221
_symmetry_space_group_name_Hall '-P 4 2 3'
_cell_length_a 6.295
_cell_length_b 6.295
_cell_length_c 6.295
_cell_angle_alpha 90.00
_cell_angle_beta 90.00
_cell_angle_gamma 90.00
loop_
_atom_site_label
_atom_site_fract_x
_atom_site_fract_y
_atom_site_fract_z
_atom_site_occupancy
K1 0.000 0.000 0.500 1
Li1 0.000 0.000 0.000 1
Ta1 0.500 0.500 0.500 1
# density of states at the Fermi level	4.07	states/eV/cell

---

no.,calculated total energy (eV per atom),formation energy from the elements (eV/atom),calculated density (g/cm3)
1,-7.9225,1.006,11.1
2,-4.6553,-0.232,7.9
3,-1.9627,1.449,2.0